Computed, not measured: crystalline La2ZnNi3Pt12 at its relaxed geometry at the GGA-PBE level of DFT.

Unit cell a=7.849 b=7.849 c=7.849 alpha=62.28 beta=62.28 gamma=62.28
Atoms (fractional coordinates):
La 0.117 0.117 0.117
La 0.883 0.883 0.883
Zn 0.500 0.500 0.500
Ni 0.000 0.500 0.500
Ni 0.500 0.000 0.500
Ni 0.500 0.500 0.000
Pt 0.122 0.631 0.631
Pt 0.132 0.132 0.615
Pt 0.132 0.615 0.132
Pt 0.369 0.369 0.878
Pt 0.369 0.878 0.369
Pt 0.385 0.868 0.868
Pt 0.615 0.132 0.132
Pt 0.631 0.122 0.631
Pt 0.631 0.631 0.122
Pt 0.868 0.385 0.868
Pt 0.868 0.868 0.385
Pt 0.878 0.369 0.369

## Properties
**Calculated formation energy**: -0.0827 eV per atom
**Symmetry**: R-3m (166)

Computed, not measured: crystalline LiLa2Zn at its relaxed geometry at the GGA-PBE level of DFT.

Unit cell a=10.446 b=3.636 c=6.161 alpha=90.00 beta=101.05 gamma=90.00
Atoms (fractional coordinates):
Li 0.000 0.000 0.000
Li 0.500 0.500 0.000
La 0.239 0.000 0.721
La 0.261 0.500 0.279
La 0.739 0.500 0.721
La 0.761 0.000 0.279
Zn 0.000 0.500 0.500
Zn 0.500 0.000 0.500

## Properties
**Calculated formation energy**: 0.0297 eV per atom
**Symmetry**: C2/m (12)

Computed, not measured: crystalline Ac3Ni4As4 at its relaxed geometry at the GGA-PBE level of DFT.

Unit cell a=4.248 b=4.354 c=12.640 alpha=99.77 beta=99.65 gamma=90.06
Atoms (fractional coordinates):
Ac 0.000 0.000 0.000
Ac 0.347 0.850 0.692
Ac 0.653 0.150 0.308
Ni 0.099 0.597 0.197
Ni 0.253 0.222 0.499
Ni 0.747 0.778 0.501
Ni 0.901 0.403 0.803
As 0.198 0.686 0.399
As 0.443 0.445 0.886
As 0.557 0.555 0.114
As 0.802 0.314 0.601

## Properties
**Calculated formation energy**: -0.8806 eV per atom
**Symmetry**: P-1 (2)

Computed, not measured: crystalline LaPmGa at its relaxed geometry at the GGA-PBE level of DFT.

Unit cell a=8.160 b=8.160 c=4.581 alpha=90.00 beta=90.00 gamma=120.00
Atoms (fractional coordinates):
La 0.000 0.403 0.000
La 0.403 0.000 0.000
La 0.597 0.597 0.000
Pm 0.000 0.731 0.500
Pm 0.269 0.269 0.500
Pm 0.731 0.000 0.500
Ga 0.000 0.000 0.000
Ga 0.333 0.667 0.500
Ga 0.667 0.333 0.500

## Properties
**Relative energy among the computed polymorphs**: 0 meV per atom
**Calculated formation energy**: -0.4124 eV per atom
**Symmetry**: P-62m (189)

Computed, not measured: crystalline Pm3ScIn12 at its relaxed geometry at the GGA-PBE level of DFT.

Unit cell a=4.654 b=4.654 c=18.667 alpha=90.00 beta=90.00 gamma=90.00
Atoms (fractional coordinates):
Pm 0.000 0.000 0.000
Pm 0.000 0.000 0.255
Pm 0.000 0.000 0.745
Sc 0.000 0.000 0.500
In 0.000 0.500 0.127
In 0.000 0.500 0.383
In 0.000 0.500 0.617
In 0.000 0.500 0.873
In 0.500 0.000 0.127
In 0.500 0.000 0.383
In 0.500 0.000 0.617
In 0.500 0.000 0.873
In 0.500 0.500 0.000
In 0.500 0.500 0.253
In 0.500 0.500 0.500
In 0.500 0.500 0.747

## Properties
**Calculated formation energy**: -0.4195 eV per atom
**Symmetry**: P4/mmm (123)

Computed, not measured: crystalline ZrSc2Tc at its relaxed geometry at the GGA-PBE level of DFT.

Unit cell a=3.208 b=3.208 c=28.604 alpha=90.00 beta=90.00 gamma=120.00
Atoms (fractional coordinates):
Zr 0.000 0.000 0.000
Zr 0.333 0.667 0.667
Zr 0.667 0.333 0.333
Sc 0.000 0.000 0.242
Sc 0.000 0.000 0.474
Sc 0.333 0.667 0.141
Sc 0.333 0.667 0.909
Sc 0.667 0.333 0.575
Sc 0.667 0.333 0.807
Tc 0.000 0.000 0.738
Tc 0.333 0.667 0.404
Tc 0.667 0.333 0.071

## Properties
**Relative energy among the computed polymorphs**: 181 meV per atom
**Calculated formation energy**: 0.0070 eV per atom
**Symmetry**: R3m (160)